TaTiGa2 GGA-PBE relaxed; VASP energy = -6.40 eV per atom; E above lowest polymorph = 354.6 meV per atom
1.0
3.620 0.000 0.000
-1.810 3.135 0.000
0.000 0.000 18.860
Ta Ti Ga
3 3 6
Cartesian
0.000 0.000 0.000
0.000 2.090 12.573
1.810 1.045 6.287
0.000 0.000 9.430
0.000 2.090 3.143
1.810 1.045 15.716
0.000 0.000 4.682
0.000 0.000 14.178
0.000 2.090 7.891
0.000 2.090 17.255
1.810 1.045 1.605
1.810 1.045 10.968

TaTiGaW GGA-PBE relaxed; VASP energy = -9.07 eV per atom
1.0
6.408 0.000 0.000
0.000 6.408 0.000
0.000 0.000 6.408
Ta Ti Ga W
4 4 4 4
Cartesian
0.000 0.000 0.000
0.000 3.204 3.204
3.204 0.000 3.204
3.204 3.204 0.000
0.000 0.000 3.204
0.000 3.204 0.000
3.204 0.000 0.000
3.204 3.204 3.204
1.602 1.602 4.806
1.602 4.806 1.602
4.806 1.602 1.602
4.806 4.806 4.806
1.602 1.602 1.602
1.602 4.806 4.806
4.806 1.602 4.806
4.806 4.806 1.602

ZrTa2TiGa GGA-PBE relaxed; VASP energy = -6.97 eV per atom
1.0
4.962 0.000 0.000
0.000 4.962 0.000
0.000 0.000 4.694
Zr Ta Ti Ga
1 2 1 1
Cartesian
0.000 0.000 0.000
0.000 2.481 0.000
2.481 0.000 0.000
0.000 0.000 2.347
2.481 2.481 2.347

TaTlGa3 GGA-PBE relaxed; VASP energy = -3.15 eV per atom; E above lowest polymorph = 1103.4 meV per atom
1.0
5.149 0.000 0.000
0.000 5.149 0.000
0.000 0.000 5.149
Ta Tl Ga
1 1 3
Cartesian
0.000 0.000 0.000
2.574 2.574 2.574
0.000 2.574 2.574
2.574 0.000 2.574
2.574 2.574 0.000

Ta3TlGa GGA-PBE relaxed; VASP energy = -5.85 eV per atom; E above lowest polymorph = 1156.7 meV per atom
1.0
5.070 0.000 0.000
0.000 5.070 0.000
0.000 0.000 5.070
Ta Tl Ga
3 1 1
Cartesian
0.000 0.000 2.535
0.000 2.535 0.000
2.535 0.000 0.000
0.000 0.000 0.000
2.535 2.535 2.535

TaTlGa2 GGA-PBE relaxed; VASP energy = -4.94 eV per atom; E above lowest polymorph = 0.0 meV per atom
1.0
3.107 0.000 0.000
-1.554 2.691 0.000
0.000 0.000 29.374
Ta Tl Ga
3 3 6
Cartesian
0.000 0.000 0.000
0.000 1.794 19.582
1.554 0.897 9.791
0.000 0.000 14.687
0.000 1.794 4.896
1.554 0.897 24.478
0.000 0.000 11.934
0.000 0.000 17.440
0.000 1.794 2.143
0.000 1.794 7.649
1.554 0.897 21.725
1.554 0.897 27.231

Ta2Tl2Ga GGA-PBE relaxed; VASP energy = -5.88 eV per atom; E above lowest polymorph = 0.0 meV per atom
1.0
6.821 0.000 0.000
0.000 6.821 0.000
0.000 0.000 4.581
Ta Tl Ga
4 4 2
Cartesian
0.994 2.417 0.000
2.417 5.828 0.000
4.404 0.994 0.000
5.828 4.404 0.000
1.131 4.542 2.291
2.279 1.131 2.291
4.542 5.690 2.291
5.690 2.279 2.291
0.000 0.000 0.000
3.411 3.411 0.000

Ta2TlGa GGA-PBE relaxed; VASP energy = -6.67 eV per atom; E above lowest polymorph = 52.6 meV per atom
1.0
4.030 0.000 0.000
0.000 4.030 0.000
0.000 0.000 20.276
Ta Tl Ga
8 4 4
Cartesian
0.977 1.008 2.535
1.008 2.993 7.604
1.008 3.053 17.742
1.038 1.008 12.673
2.993 3.023 12.673
3.023 0.977 17.742
3.023 1.038 7.604
3.053 3.023 2.535
0.000 0.000 10.138
0.000 2.015 15.207
2.015 0.000 5.069
2.015 2.015 0.000
0.000 0.000 0.000
0.000 2.015 5.069
2.015 0.000 15.207
2.015 2.015 10.138